#A
Compound: Ba2Dy
Source: OQMD
Functional: PBE
Structure: optimized geometry

Calculated values
total magnetic moment: 0.023 μB per cell

a b c (Å): 8.6927 8.6927 8.6927
angles (deg): 151.79 151.79 40.32
Last column: nearest neighbours and their distance in Å.
Sites, in units of the cell vectors:
Ba  0.3479  0.3479  0.0000  4 Dy 3.89, 4 Ba 4.24
Ba  0.6521  0.6521  0.0000  4 Dy 3.89, 4 Ba 4.24
Dy  0.0000  0.0000  0.0000  8 Ba 3.89, 4 Dy 4.24

---

#B
Compound: Ba2Dy
Source: OQMD
Functional: PBE
Structure: optimized geometry

Calculated values
total magnetic moment: 0.017 μB per cell

a b c (Å): 7.4145 7.4145 7.4145
angles (deg): 60.00 60.00 60.00
Last column: nearest neighbours and their distance in Å.
Sites, in units of the cell vectors:
Ba  0.6250  0.6250  0.1250  6 Ba 3.71
Ba  0.1250  0.6250  0.6250  6 Ba 3.71
Ba  0.6250  0.1250  0.6250  6 Ba 3.71
Ba  0.6250  0.6250  0.6250  6 Ba 3.71
Dy  0.2500  0.2500  0.2500  12 Ba 4.35, 4 Dy 4.54
Dy  0.0000  0.0000  0.0000  12 Ba 4.35, 4 Dy 4.54

---

It turns out #A is the most stable, with the second structure 312 meV per atom higher.

---

#A
Compound: BaDyGa
Source: OQMD
Functional: PBE
Structure: optimized geometry

Calculated values
total magnetic moment: 0.002 μB per cell

a b c (Å): 5.2792 5.2792 5.2792
angles (deg): 60.00 60.00 60.00
Last column: nearest neighbours and their distance in Å.
Sites, in units of the cell vectors:
Ba  0.0000  0.0000  0.0000  4 Ga 3.23, 4 Dy 3.23
Ga  0.7500  0.7500  0.7500  4 Ba 3.23
Dy  0.2500  0.2500  0.2500  4 Ba 3.23

---

#B
Compound: BaDyGa
Source: OQMD
Functional: PBE
Structure: optimized geometry

Calculated values
total magnetic moment: 0.002 μB per cell

a b c (Å): 5.2094 5.2094 5.2094
angles (deg): 60.00 60.00 60.00
Last column: nearest neighbours and their distance in Å.
Sites, in units of the cell vectors:
Ba  0.2500  0.2500  0.2500  4 Dy 3.19
Ga  0.7500  0.7500  0.7500  4 Dy 3.19
Dy  0.0000  0.0000  0.0000  4 Ga 3.19, 4 Ba 3.19

---

It turns out #B is the most stable, with the second structure 320 meV per atom higher.

---

#A
Compound: BaDyGe
Source: OQMD
Functional: PBE
Structure: optimized geometry

Calculated values
total magnetic moment: 0.014 μB per cell

a b c (Å): 5.3007 5.3007 5.3007
angles (deg): 60.00 60.00 60.00
Last column: nearest neighbours and their distance in Å.
Sites, in units of the cell vectors:
Ba  0.0000  0.0000  0.0000  4 Dy 3.25, 4 Ge 3.25
Dy  0.2500  0.2500  0.2500  4 Ba 3.25
Ge  0.7500  0.7500  0.7500  4 Ba 3.25

---

#B
Compound: BaDyGe
Source: OQMD
Functional: PBE
Structure: optimized geometry

Calculated values
total magnetic moment: 0.014 μB per cell

a b c (Å): 5.2813 5.2813 5.2813
angles (deg): 60.00 60.00 60.00
Last column: nearest neighbours and their distance in Å.
Sites, in units of the cell vectors:
Dy  0.7500  0.7500  0.7500  4 Ge 3.23
Ge  0.0000  0.0000  0.0000  4 Ba 3.23, 4 Dy 3.23
Ba  0.2500  0.2500  0.2500  4 Ge 3.23

---

It turns out #B is the most stable, with the second structure 777 meV per atom higher.

---

#A
Compound: BaDyHg
Source: OQMD
Functional: PBE
Structure: optimized geometry

Calculated values
total magnetic moment: 0.002 μB per cell

a b c (Å): 5.3030 5.3030 5.3030
angles (deg): 60.00 60.00 60.00
Last column: nearest neighbours and their distance in Å.
Sites, in units of the cell vectors:
Dy  0.2500  0.2500  0.2500  4 Ba 3.25, 4 Hg 3.25
Ba  0.5000  0.5000  0.5000  4 Dy 3.25
Hg  0.0000  0.0000  0.0000  4 Dy 3.25

---

#B
Compound: BaDyHg
Source: OQMD
Functional: PBE
Structure: optimized geometry

Calculated values
total magnetic moment: 0.005 μB per cell

a b c (Å): 5.4264 5.4264 5.4264
angles (deg): 60.00 60.00 60.00
Last column: nearest neighbours and their distance in Å.
Sites, in units of the cell vectors:
Hg  0.7500  0.7500  0.7500  4 Ba 3.32
Ba  0.0000  0.0000  0.0000  4 Hg 3.32, 4 Dy 3.32
Dy  0.2500  0.2500  0.2500  4 Ba 3.32

---

It turns out #A is the most stable, with the second structure 275 meV per atom higher.

---

#A
Compound: BaLiDyTe3
Source: OQMD
Functional: PBE
Structure: optimized geometry

Calculated values
total magnetic moment: 0.002 μB per cell

a b c (Å): 7.8152 7.8152 11.4794
angles (deg): 90.00 90.00 146.25
Last column: nearest neighbours and their distance in Å.
Sites, in units of the cell vectors:
Te  0.5720  0.4280  0.2500  2 Li 2.74, 2 Dy 3.07
Te  0.8624  0.1376  0.0549  1 Li 2.75
Te  0.1376  0.8624  0.9451  1 Li 2.75
Te  0.1376  0.8624  0.5549  1 Li 2.75
Te  0.4280  0.5720  0.7500  2 Li 2.74, 2 Dy 3.07
Te  0.8624  0.1376  0.4451  1 Li 2.75
Li  0.0312  0.9688  0.7500  4 Te 2.74-2.75
Li  0.9688  0.0312  0.2500  4 Te 2.74-2.75
Ba  0.7500  0.2500  0.7500  8 Te 3.50-3.88
Ba  0.2500  0.7500  0.2500  8 Te 3.50-3.88
Dy  0.5000  0.5000  0.5000  6 Te 3.07-3.13
Dy  0.5000  0.5000  0.0000  6 Te 3.07-3.13

---

#B
Compound: BaLiDyTe3
Source: OQMD
Functional: PBE
Structure: optimized geometry

Calculated values
total magnetic moment: 0.004 μB per cell

a b c (Å): 9.9049 9.9049 9.4970
angles (deg): 103.36 103.36 26.41
Last column: nearest neighbours and their distance in Å.
Sites, in units of the cell vectors:
Te  0.6734  0.6734  0.8053  2 Dy 3.07, 1 Li 3.13
Te  0.3310  0.3310  0.6372  3 Dy 3.10-3.11, 1 Li 3.30
Te  0.0000  0.0000  0.5000  4 Li 2.93, 2 Dy 3.10
Te  0.6690  0.6690  0.3628  3 Dy 3.10-3.11, 1 Li 3.30
Te  0.3266  0.3266  0.1947  2 Dy 3.07, 1 Li 3.13
Te  0.5000  0.5000  0.0000  2 Li 2.90
Li  0.4934  0.4934  0.3016  4 Te 2.90-3.13
Li  0.5066  0.5066  0.6984  4 Te 2.90-3.13
Ba  0.8639  0.8639  0.9334  7 Te 3.41-3.59
Ba  0.1361  0.1361  0.0666  7 Te 3.41-3.59
Dy  0.8345  0.8345  0.4166  6 Te 3.07-3.11
Dy  0.1655  0.1655  0.5834  6 Te 3.07-3.11

---

It turns out #A is the most stable, with the second structure 23 meV per atom higher.

---

#A
Compound: BaDyMo
Source: OQMD
Functional: PBE
Structure: optimized geometry

Calculated values
total magnetic moment: 3.054 μB per cell

a b c (Å): 5.1608 5.1608 5.1608
angles (deg): 60.00 60.00 60.00
Last column: nearest neighbours and their distance in Å.
Sites, in units of the cell vectors:
Dy  0.2500  0.2500  0.2500  4 Ba 3.16
Mo  0.7500  0.7500  0.7500  4 Ba 3.16
Ba  0.0000  0.0000  0.0000  4 Mo 3.16, 4 Dy 3.16

---

#B
Compound: BaDyMo
Source: OQMD
Functional: PBE
Structure: optimized geometry

Calculated values
total magnetic moment: 1.160 μB per cell

a b c (Å): 5.1443 5.1443 5.1443
angles (deg): 60.00 60.00 60.00
Last column: nearest neighbours and their distance in Å.
Sites, in units of the cell vectors:
Dy  0.7500  0.7500  0.7500  4 Mo 3.15
Ba  0.2500  0.2500  0.2500  4 Mo 3.15
Mo  0.0000  0.0000  0.0000  4 Dy 3.15, 4 Ba 3.15

---

It turns out #B is the most stable, with the second structure 561 meV per atom higher.